# 1
A PBEsol-optimized structure of ZrNbB2Rh, computed with meta-GGA SCAN.

The structure in POSCAR format:
```
ZrNbB2Rh
1.0
4.039 0.000 0.000
0.000 4.039 0.000
0.000 0.000 4.848
Zr Nb B Rh
1 1 2 1
Direct
0.000 0.000 0.000
0.500 0.500 0.000
0.000 0.500 0.500
0.500 0.000 0.500
0.500 0.500 0.500
```

Values from the calculation:
The calculation puts the density of states at the Fermi level at 0.550 states/eV/atom. The value obtained for the formation energy is 676 meV per atom. The calculated total energy comes out at -109.1 eV per formula unit.


# 2
A PBEsol-optimized structure of KTa2Te, computed with meta-GGA SCAN.

The structure in POSCAR format:
```
KTa2Te
1.0
3.426 0.000 0.000
0.000 4.217 0.000
-0.818 0.000 7.614
K Ta Te
1 2 1
Direct
0.000 0.000 0.000
0.370 0.000 0.451
0.861 0.500 0.421
0.430 0.500 0.709
```

Values from the calculation:
The calculation puts the formation energy from raw total energies at 294 meV/atom. The calculation puts the density of states at the Fermi level at 0.711 states/eV/atom. The calculated total energy comes out at -177.6 eV per formula unit.


# 3
A PBEsol-optimized structure of Gd3MnAlS7, computed with meta-GGA SCAN.

The structure in POSCAR format:
```
Gd3MnAlS7
1.0
9.599 0.000 0.000
-4.800 8.313 0.000
0.000 0.000 6.036
Gd Mn Al S
6 2 2 14
Direct
0.152 0.377 0.000
0.224 0.848 0.000
0.377 0.224 0.500
0.623 0.776 0.000
0.776 0.152 0.500
0.848 0.623 0.500
0.000 0.000 0.306
0.000 0.000 0.806
0.333 0.667 0.423
0.667 0.333 0.923
0.089 0.569 0.269
0.102 0.244 0.573
0.142 0.898 0.573
0.244 0.142 0.073
0.333 0.667 0.791
0.431 0.519 0.269
0.481 0.911 0.269
0.519 0.089 0.769
0.569 0.481 0.769
0.667 0.333 0.291
0.756 0.858 0.573
0.858 0.102 0.073
0.898 0.756 0.073
0.911 0.431 0.769
```

Values from the calculation:
The calculation puts the formation energy from raw total energies at -1900 meV/atom. The calculated total energy comes out at -292.7 eV per formula unit.


# 4
A PBEsol-optimized structure of Y3Cu, computed with meta-GGA SCAN.

The structure in POSCAR format:
```
Y3Cu
1.0
5.047 2.914 1.135
-5.047 2.914 1.135
0.000 -5.828 1.135
Y Cu
3 1
Direct
0.000 0.500 0.500
0.500 0.000 0.500
0.500 0.500 0.000
0.000 0.000 0.000
```

Values from the calculation:
The calculation puts the density of states at the Fermi level at 1.275 states/eV/atom. The value obtained for the formation energy is 273 meV per atom. The calculated total energy comes out at -97.6 eV per formula unit.


# 5
A PBEsol-optimized structure of La2TaSi, computed with meta-GGA SCAN.

The structure in POSCAR format:
```
La2TaSi
1.0
-1.949 2.485 4.905
1.949 -2.485 4.905
1.949 2.485 -4.905
La Ta Si
2 1 1
Direct
0.000 0.000 0.000
0.719 0.219 0.500
0.435 0.435 0.000
0.266 0.766 0.500
```

Values from the calculation:
The calculation puts the formation energy from raw total energies at -27 meV/atom. The calculation puts the density of states at the Fermi level at 0.944 states/eV/atom. The calculated total energy comes out at -162.9 eV per formula unit.


# 6
A PBEsol-optimized structure of TlCoPt, computed with meta-GGA SCAN.

The structure in POSCAR format:
```
TlCoPt
1.0
4.377 0.000 0.000
-2.188 3.790 0.000
0.000 0.000 2.876
Tl Co Pt
1 1 1
Direct
0.000 0.000 0.000
0.333 0.667 0.736
0.667 0.333 0.386
```

Values from the calculation:
The calculation puts the density of states at the Fermi level at 0.335 states/eV/atom. The excess energy over the best structure of this formula in the dataset is 0 meV per atom. The value obtained for the formation energy is 276 meV per atom. The calculated total energy comes out at -159.0 eV per formula unit.


The highest calculated total energy belongs to which entry?
Y3Cu


What did the third record say?
A PBEsol-optimized structure of Gd3MnAlS7, computed with meta-GGA SCAN.

The structure in POSCAR format:
```
Gd3MnAlS7
1.0
9.599 0.000 0.000
-4.800 8.313 0.000
0.000 0.000 6.036
Gd Mn Al S
6 2 2 14
Direct
0.152 0.377 0.000
0.224 0.848 0.000
0.377 0.224 0.500
0.623 0.776 0.000
0.776 0.152 0.500
0.848 0.623 0.500
0.000 0.000 0.306
0.000 0.000 0.806
0.333 0.667 0.423
0.667 0.333 0.923
0.089 0.569 0.269
0.102 0.244 0.573
0.142 0.898 0.573
0.244 0.142 0.073
0.333 0.667 0.791
0.431 0.519 0.269
0.481 0.911 0.269
0.519 0.089 0.769
0.569 0.481 0.769
0.667 0.333 0.291
0.756 0.858 0.573
0.858 0.102 0.073
0.898 0.756 0.073
0.911 0.431 0.769
```

Values from the calculation:
The calculation puts the formation energy from raw total energies at -1900 meV/atom. The calculated total energy comes out at -292.7 eV per formula unit.


Number 1 is which compound?
ZrNbB2Rh